FeCuRe2: relaxed, PBE.

Values from the calculation:
ΔE_f: 0.255 eV/atom

a = 2.5975 Å, b = 2.5975 Å, c = 8.5516 Å
α = 90.00°, β = 90.00°, γ = 107.89°
With the nearest neighbours (Å) after each atom.
Fractional coordinates of all 4 atoms:
Fe 0.0000 0.0000 0.0000  4 Re 2.59, 4 Fe 2.60
Cu 0.0000 0.0000 0.5000  4 Cu 2.60, 4 Re 2.66
Re 0.5000 0.5000 0.2448  2 Fe 2.59, 4 Re 2.60, 2 Cu 2.66
Re 0.5000 0.5000 0.7552  2 Fe 2.59, 4 Re 2.60, 2 Cu 2.66


FeCuRe2: relaxed, PBE.

Values from the calculation:
ΔE_f: 0.212 eV/atom

a = 2.6401 Å, b = 2.6401 Å, c = 7.5361 Å
α = 90.00°, β = 90.00°, γ = 90.00°
With the nearest neighbours (Å) after each atom.
Fractional coordinates of all 4 atoms:
Fe 0.0000 0.0000 0.0000  8 Re 2.60, 4 Fe 2.64
Cu 0.0000 0.0000 0.5000  4 Cu 2.64, 8 Re 2.71
Re 0.5000 0.5000 0.2398  4 Fe 2.60, 4 Re 2.64, 4 Cu 2.71
Re 0.5000 0.5000 0.7602  4 Fe 2.60, 4 Re 2.64, 4 Cu 2.71


Fe2CuRe: relaxed, PBE.

Values from the calculation:
ΔE_f: 0.217 eV/atom

a = 8.5522 Å, b = 8.5522 Å, c = 8.5522 Å
α = 17.77°, β = 17.77°, γ = 17.77°
With the nearest neighbours (Å) after each atom.
Fractional coordinates of all 4 atoms:
Fe 0.0000 0.0000 0.0000  9 Fe 2.53-2.64, 3 Cu 2.58
Fe 0.2535 0.2535 0.2535  9 Fe 2.53-2.64, 3 Re 2.54
Cu 0.7491 0.7491 0.7491  3 Fe 2.58, 6 Cu 2.64, 3 Re 2.75
Re 0.5063 0.5063 0.5063  3 Fe 2.54, 6 Re 2.64, 3 Cu 2.75


Fe3CuRe: relaxed, PBE.

Values from the calculation:
ΔE_f: 1.846 eV/atom

a = 4.1055 Å, b = 4.1055 Å, c = 4.1055 Å
α = 90.00°, β = 90.00°, γ = 90.00°
With the nearest neighbours (Å) after each atom.
Fractional coordinates of all 5 atoms:
Fe 0.0000 0.0000 0.5000  2 Cu 2.05
Fe 0.0000 0.5000 0.0000  2 Cu 2.05
Fe 0.5000 0.0000 0.0000  2 Cu 2.05
Cu 0.0000 0.0000 0.0000  6 Fe 2.05
Re 0.5000 0.5000 0.5000  12 Fe 2.90


| no. | calculated total energy (eV per atom) | relative energy among the computed polymorphs (meV/atom) | total magnetization (μB per cell) |
| --- | --- | --- | --- |
| 1 | -9.108 | 96 | 2.5 |
| 2 | -9.152 | 52 | 0.0 |
| 3 | -8.150 | 43 | 3.4 |
| 4 | -6.540 | 245 | 0.0 |